(1)
First-principles (PBEsol) data for a relaxed structure of Mn2NiCl, as listed in Alexandria via LeMat-Bulk.

Summary:
Excess energy over the best structure of this formula in the dataset ... 0.000 eV/atom
Energy relative to the elements, uncorrected ... 0.240 eV per atom
Total DFT energy (no corrections) ... -26.726 eV/cell
M_tot ... 0.217 μB/atom

Structure (CIF):
```
data_Mn2NiCl
_cell_length_a 2.9662
_cell_length_b 2.9662
_cell_length_c 6.1101
_cell_angle_alpha 90.00
_cell_angle_beta 90.00
_cell_angle_gamma 90.00
_space_group_name_H-M_alt 'P 1'
_space_group_IT_number 1
loop_
_space_group_symop_operation_xyz
'x,y,z'
loop_
_atom_site_label
_atom_site_type_symbol
_atom_site_fract_x
_atom_site_fract_y
_atom_site_fract_z
Mn1 Mn 0.0000 0.0000 0.0000
Mn2 Mn 0.5000 0.5000 0.2194
Ni1 Ni 0.0000 0.0000 0.4212
Cl1 Cl 0.5000 0.5000 0.7348
```



(2)
First-principles (PBEsol) data for a relaxed structure of YAlSi, as listed in Alexandria via LeMat-Bulk.

Summary:
Energy relative to the elements, uncorrected ... -0.687 eV per atom
Total DFT energy (no corrections) ... -37.444 eV/cell
M_tot ... 0.000 μB/atom

Structure (CIF):
```
data_YAlSi
_cell_length_a 5.4724
_cell_length_b 5.4724
_cell_length_c 5.6611
_cell_angle_alpha 90.00
_cell_angle_beta 90.00
_cell_angle_gamma 137.37
_space_group_name_H-M_alt 'P 1'
_space_group_IT_number 1
loop_
_space_group_symop_operation_xyz
'x,y,z'
loop_
_atom_site_label
_atom_site_type_symbol
_atom_site_fract_x
_atom_site_fract_y
_atom_site_fract_z
Y1 Y 0.1954 0.8046 0.7500
Y2 Y 0.8046 0.1954 0.2500
Al1 Al 0.5000 0.5000 0.0000
Al2 Al 0.5000 0.5000 0.5000
Si1 Si 0.0993 0.9007 0.2500
Si2 Si 0.9007 0.0993 0.7500
```



(3)
First-principles (PBEsol) data for a relaxed structure of Ca2IrOs, as listed in Alexandria via LeMat-Bulk.

Summary:
Excess energy over the best structure of this formula in the dataset ... 0.000 eV/atom
Total DFT energy (no corrections) ... -25.955 eV/cell
M_tot ... 0.000 μB/atom

Structure (CIF):
```
data_Ca2IrOs
_cell_length_a 4.3066
_cell_length_b 5.4446
_cell_length_c 5.4446
_cell_angle_alpha 49.06
_cell_angle_beta 90.00
_cell_angle_gamma 90.00
_space_group_name_H-M_alt 'P 1'
_space_group_IT_number 1
loop_
_space_group_symop_operation_xyz
'x,y,z'
loop_
_atom_site_label
_atom_site_type_symbol
_atom_site_fract_x
_atom_site_fract_y
_atom_site_fract_z
Ca1 Ca 0.0000 0.0000 0.0000
Ca2 Ca 0.5000 0.2844 0.2844
Ir1 Ir 0.0000 0.6911 0.6911
Os1 Os 0.5000 0.5947 0.5947
```



(4)
First-principles (PBEsol) data for a relaxed structure of ZrSeIN2, as listed in Alexandria via LeMat-Bulk.

Summary:
Energy relative to the elements, uncorrected ... 0.500 eV per atom
Total DFT energy (no corrections) ... -29.258 eV/cell
M_tot ... 0.001 μB/atom

Structure (CIF):
```
data_ZrSeIN2
_cell_length_a 4.1014
_cell_length_b 4.1014
_cell_length_c 6.2823
_cell_angle_alpha 90.00
_cell_angle_beta 90.00
_cell_angle_gamma 90.00
_space_group_name_H-M_alt 'P 1'
_space_group_IT_number 1
loop_
_space_group_symop_operation_xyz
'x,y,z'
loop_
_atom_site_label
_atom_site_type_symbol
_atom_site_fract_x
_atom_site_fract_y
_atom_site_fract_z
Zr1 Zr 0.0000 0.0000 0.0000
Se1 Se 0.5000 0.5000 0.5000
I1 I 0.0000 0.0000 0.5000
N1 N 0.0000 0.5000 0.0000
N2 N 0.5000 0.0000 0.0000
```



What is the formula in the fourth record? ZrSeIN2



Repeat the fourth record exactly.
First-principles (PBEsol) data for a relaxed structure of ZrSeIN2, as listed in Alexandria via LeMat-Bulk.

Summary:
Energy relative to the elements, uncorrected ... 0.500 eV per atom
Total DFT energy (no corrections) ... -29.258 eV/cell
M_tot ... 0.001 μB/atom

Structure (CIF):
```
data_ZrSeIN2
_cell_length_a 4.1014
_cell_length_b 4.1014
_cell_length_c 6.2823
_cell_angle_alpha 90.00
_cell_angle_beta 90.00
_cell_angle_gamma 90.00
_space_group_name_H-M_alt 'P 1'
_space_group_IT_number 1
loop_
_space_group_symop_operation_xyz
'x,y,z'
loop_
_atom_site_label
_atom_site_type_symbol
_atom_site_fract_x
_atom_site_fract_y
_atom_site_fract_z
Zr1 Zr 0.0000 0.0000 0.0000
Se1 Se 0.5000 0.5000 0.5000
I1 I 0.0000 0.0000 0.5000
N1 N 0.0000 0.5000 0.0000
N2 N 0.5000 0.0000 0.0000
```